1.
Entry from Alexandria via LeMat-Bulk: a PBEsol-optimized structure of MgTcTe (meta-GGA SCAN).

Summary:
The value obtained for the total moment is 0.007 μB per formula unit. The calculation puts the formation energy without anion corrections at 445 meV per atom. The density comes out at 6.95 g/cm3.

Cell: 3.103 3.103 7.054 Å, 97.25 97.25 115.25°
Element x y z (fractional)
Te: 0.685 0.685 0.371
Tc: 0.331 0.331 0.662
Mg: 0.984 0.984 0.968

---

2.
Entry from Alexandria via LeMat-Bulk: a PBEsol-optimized structure of MgTcTe2 (meta-GGA SCAN).

Summary:
The value obtained for the total moment is 0.001 μB per formula unit. The calculation puts the formation energy without anion corrections at 33 meV per atom. The density comes out at 6.82 g/cm3.

Cell: 4.190 4.193 5.335 Å, 90.00 90.00 101.26°
Element x y z (fractional)
Tc: 0.244 0.757 0.500
Mg: 0.509 0.490 0.000
Te: 0.654 0.346 0.500
Te: 0.093 0.907 0.000

---

3.
Entry from Alexandria via LeMat-Bulk: a PBEsol-optimized structure of MgTcTe (meta-GGA SCAN).

Summary:
The value obtained for the total moment is 0.008 μB per formula unit. The calculation puts the formation energy without anion corrections at 821 meV per atom. The density comes out at 6.86 g/cm3.

Cell: 4.406 4.406 4.406 Å, 60.00 60.00 60.00°
Element x y z (fractional)
Te: 0.500 0.500 0.500
Tc: 0.000 0.000 0.000
Mg: 0.250 0.250 0.250

---

4.
Entry from Alexandria via LeMat-Bulk: a PBEsol-optimized structure of YMgTc2Te (meta-GGA SCAN).

Summary:
The value obtained for the total moment is 4.572 μB per formula unit. The calculation puts the formation energy without anion corrections at 1161 meV per atom. The density comes out at 6.53 g/cm3.

Cell: 4.622 4.622 5.195 Å, 90.00 90.00 90.00°
Element x y z (fractional)
Tc: 0.500 0.000 0.000
Mg: 0.000 0.000 0.000
Y: 0.000 0.000 0.500
Te: 0.500 0.500 0.500
Tc: 0.000 0.500 0.000

---

5.
Entry from Alexandria via LeMat-Bulk: a PBEsol-optimized structure of Mg3TiTc (meta-GGA SCAN).

Summary:
The calculation puts the formation energy from the elements at 8.219 eV/f.u. The value obtained for the total moment is 5.169 μB per formula unit. The density comes out at 3.03 g/cm3.

Cell: 4.931 4.931 4.931 Å, 90.00 90.00 90.00°
Element x y z (fractional)
Ti: 0.000 0.000 0.000
Mg: 0.500 0.000 0.000
Mg: 0.000 0.000 0.500
Mg: 0.000 0.500 0.000
Tc: 0.500 0.500 0.500

---

6.
Entry from Alexandria via LeMat-Bulk: a PBEsol-optimized structure of Mg2TlTc (meta-GGA SCAN).

Summary:
The calculation puts the formation energy from the elements at 0.881 eV/f.u. The value obtained for the total moment is 0.000 μB per formula unit. The density comes out at 7.92 g/cm3.

Cell: 2.868 4.845 5.293 Å, 90.00 90.00 90.00°
Element x y z (fractional)
Tl: 0.500 0.500 0.229
Mg: 0.000 0.500 0.705
Tc: 0.500 0.000 0.539
Mg: 0.000 0.000 0.026

---

7.
Entry from Alexandria via LeMat-Bulk: a PBEsol-optimized structure of Mg2TlTc (meta-GGA SCAN).

Summary:
The calculation puts the formation energy from the elements at 0.963 eV/f.u. The value obtained for the total moment is 0.000 μB per formula unit. The density comes out at 7.96 g/cm3.

Cell: 2.922 5.215 5.215 Å, 112.84 89.85 89.85°
Element x y z (fractional)
Tl: 0.500 0.000 0.000
Tc: 0.500 0.500 0.500
Mg: 0.000 0.000 0.500
Mg: 0.000 0.500 0.000

---

8.
Entry from Alexandria via LeMat-Bulk: a PBEsol-optimized structure of Mg2TlTc (meta-GGA SCAN).

Summary:
The calculation puts the formation energy from the elements at 1.220 eV/f.u. The value obtained for the total moment is 0.001 μB per formula unit. The density comes out at 8.17 g/cm3.

Cell: 4.655 4.655 4.655 Å, 60.00 60.00 60.00°
Element x y z (fractional)
Tl: 0.500 0.500 0.500
Mg: 0.250 0.250 0.250
Mg: 0.750 0.750 0.750
Tc: 0.000 0.000 0.000

---

9.
Entry from Alexandria via LeMat-Bulk: a PBEsol-optimized structure of Tm2MgTc (meta-GGA SCAN).

Summary:
The calculation puts the formation energy from the elements at -0.363 eV/f.u. The value obtained for the total moment is 0.005 μB per formula unit. The density comes out at 9.19 g/cm3.

Cell: 4.899 4.899 4.899 Å, 60.00 60.00 60.00°
Element x y z (fractional)
Tm: 0.250 0.250 0.250
Tm: 0.750 0.750 0.750
Mg: 0.500 0.500 0.500
Tc: 0.000 0.000 0.000

---

10.
Entry from Alexandria via LeMat-Bulk: a PBEsol-optimized structure of MgTcW2 (meta-GGA SCAN).

Summary:
The calculation puts the formation energy from the elements at 1.628 eV/f.u. The value obtained for the total moment is 0.000 μB per formula unit. The density comes out at 13.04 g/cm3.

Cell: 2.628 4.338 5.476 Å, 90.00 90.00 90.00°
Element x y z (fractional)
W: 0.500 0.500 0.252
W: 0.000 0.000 0.003
Tc: 0.500 0.500 0.739
Mg: 0.000 0.000 0.506

---

11.
Entry from Alexandria via LeMat-Bulk: a PBEsol-optimized structure of Mg2TcW (meta-GGA SCAN).

Summary:
The calculation puts the formation energy from the elements at 1.090 eV/f.u. The value obtained for the total moment is 0.000 μB per formula unit. The density comes out at 8.09 g/cm3.

Cell: 3.271 4.720 5.248 Å, 116.72 108.16 90.00°
Element x y z (fractional)
Mg: 0.994 0.994 0.987
Tc: 0.521 0.521 0.043
W: 0.222 0.722 0.444
Mg: 0.763 0.263 0.527

---

12.
Entry from Alexandria via LeMat-Bulk: a PBEsol-optimized structure of Mg2TcW (meta-GGA SCAN).

Summary:
The calculation puts the formation energy from the elements at 1.096 eV/f.u. The value obtained for the total moment is 0.000 μB per formula unit. The density comes out at 8.58 g/cm3.

Cell: 3.241 4.248 5.358 Å, 113.35 107.61 90.00°
Element x y z (fractional)
Tc: 0.500 0.000 0.000
Mg: 0.758 0.758 0.516
Mg: 0.242 0.242 0.484
W: 0.000 0.500 0.000

---

13.
Entry from Alexandria via LeMat-Bulk: a PBEsol-optimized structure of MgTcW2 (meta-GGA SCAN).

Summary:
The calculation puts the formation energy from the elements at 1.057 eV/f.u. The value obtained for the total moment is 0.000 μB per formula unit. The density comes out at 13.10 g/cm3.

Cell: 3.090 4.523 5.221 Å, 115.67 107.21 90.00°
Element x y z (fractional)
W: 0.736 0.236 0.472
Tc: 0.263 0.763 0.526
Mg: 0.505 0.505 0.011
W: 0.996 0.996 0.991

---

14.
Entry from Alexandria via LeMat-Bulk: a PBEsol-optimized structure of MgZnTc2W (meta-GGA SCAN).

Summary:
The calculation puts the formation energy from the elements at 11.579 eV/f.u. The value obtained for the total moment is 3.142 μB per formula unit. The density comes out at 8.84 g/cm3.

Cell: 4.408 4.408 4.539 Å, 90.00 90.00 90.00°
Element x y z (fractional)
Tc: 0.000 0.500 0.000
Tc: 0.500 0.000 0.000
Mg: 0.000 0.000 0.000
Zn: 0.500 0.500 0.500
W: 0.000 0.000 0.500

---

15.
Entry from Alexandria via LeMat-Bulk: a PBEsol-optimized structure of Y2MgTc (meta-GGA SCAN).

Summary:
The calculation puts the formation energy from the elements at 0.963 eV/f.u. The value obtained for the total moment is 0.000 μB per formula unit. The density comes out at 5.90 g/cm3.

Cell: 4.924 4.924 4.924 Å, 60.00 60.00 60.00°
Element x y z (fractional)
Y: 0.000 0.000 0.000
Tc: 0.250 0.250 0.250
Mg: 0.500 0.500 0.500
Y: 0.750 0.750 0.750

---

16.
Entry from Alexandria via LeMat-Bulk: a PBEsol-optimized structure of YMg2Tc (meta-GGA SCAN).

Summary:
The calculation puts the formation energy from the elements at 0.299 eV/f.u. The value obtained for the total moment is 0.443 μB per formula unit. The density comes out at 4.82 g/cm3.

Cell: 3.452 4.657 5.824 Å, 113.57 107.24 90.00°
Element x y z (fractional)
Tc: 0.000 0.500 0.000
Mg: 0.280 0.280 0.561
Y: 0.500 0.000 0.000
Mg: 0.720 0.720 0.439

---

17.
Entry from Alexandria via LeMat-Bulk: a PBEsol-optimized structure of Y2MgTc (meta-GGA SCAN).

Summary:
The calculation puts the formation energy from the elements at -0.359 eV/f.u. The value obtained for the total moment is 0.078 μB per formula unit. The density comes out at 5.30 g/cm3.

Cell: 3.438 3.438 7.950 Å, 90.00 90.00 90.00°
Element x y z (fractional)
Mg: 0.500 0.500 0.000
Y: 0.000 0.000 0.702
Y: 0.000 0.000 0.298
Tc: 0.500 0.500 0.500

---

18.
Entry from Alexandria via LeMat-Bulk: a PBEsol-optimized structure of Y4MgTc (meta-GGA SCAN).

Summary:
The calculation puts the formation energy from the elements at 4.566 eV/f.u. The value obtained for the total moment is 1.088 μB per formula unit. The density comes out at 5.15 g/cm3.

Cell: 6.019 6.019 6.019 Å, 60.00 60.00 60.00°
Element x y z (fractional)
Y: 0.880 0.373 0.373
Mg: 0.750 0.750 0.750
Y: 0.373 0.880 0.373
Tc: 0.000 0.000 0.000
Y: 0.373 0.373 0.373
Y: 0.373 0.373 0.880

---

19.
Entry from Alexandria via LeMat-Bulk: a PBEsol-optimized structure of YMg2Tc (meta-GGA SCAN).

Summary:
The calculation puts the formation energy from the elements at 0.876 eV/f.u. The value obtained for the total moment is 0.011 μB per formula unit. The density comes out at 4.76 g/cm3.

Cell: 3.065 4.485 6.169 Å, 90.00 104.37 90.00°
Element x y z (fractional)
Tc: 0.830 0.000 0.506
Mg: 0.671 0.500 0.245
Y: 0.417 0.500 0.703
Mg: 0.081 0.000 0.046

---

20.
Entry from Alexandria via LeMat-Bulk: a PBEsol-optimized structure of YMg2Tc (meta-GGA SCAN).

Summary:
The calculation puts the formation energy from the elements at 1.474 eV/f.u. The value obtained for the total moment is 0.590 μB per formula unit. The density comes out at 4.91 g/cm3.

Cell: 2.984 2.984 10.472 Å, 81.81 81.81 60.00°
Element x y z (fractional)
Y: 0.000 0.000 0.000
Mg: 0.239 0.239 0.284
Tc: 0.500 0.500 0.500
Mg: 0.761 0.761 0.716